Entry 1:
# LiPaHgO5

An optimized crystal structure of LiPaHgO5 (PBE, the Alexandria database).

## Properties
- Total moment: 0.00 μB per atom
- Final energy: -6.38 eV per atom
- Energy relative to the elements, uncorrected: -1406 kJ/mol of formula units
- Mass density: 7.6 g cm⁻³

Lattice parameters (Å, degrees): 5.605 10.486 7.924 90.00 101.89 90.00
Space group C2/c (No. 15)
One atom of each set of equivalent atoms:
1 Li 0.000 0.191 0.250 [4 per cell]
2 Pa 0.000 0.500 0.000 [4 per cell]
3 Hg 0.000 0.176 0.750 [4 per cell]
4 O 0.000 0.395 0.250 [4 per cell]
5 O 0.082 0.056 0.006 [8 per cell]
6 O 0.157 0.347 0.631 [8 per cell]


Entry 2:
# PIr2Se

An optimized crystal structure of PIr2Se (PBE, the Alexandria database).

## Properties
- Total moment: 0.00 μB per atom
- Final energy: -6.85 eV per atom
- DOS(E_F): 0.277 states/eV per atom
- Energy relative to the elements, uncorrected: -76 kJ/mol of formula units
- Mass density: 9.7 g cm⁻³

Lattice parameters (Å, degrees): 3.942 3.943 5.433 90.00 90.23 90.00
Space group Pm (No. 6)
One atom of each set of equivalent atoms:
1 P 0.000 0.000 0.000 [1 per cell]
2 Ir 0.001 0.500 0.235 [1 per cell]
3 Ir 0.501 0.000 0.235 [1 per cell]
4 Se 0.503 0.500 0.510 [1 per cell]


Entry 3:
# LiMnTlBr4

An optimized crystal structure of LiMnTlBr4 (PBE, the Alexandria database).

## Properties
- Total moment: 0.71 μB per atom
- Final energy: -3.88 eV per atom
- DOS(E_F): 0.000 states/eV per atom
- Energy relative to the elements, uncorrected: -680 kJ/mol of formula units
- Mass density: 3.8 g cm⁻³

Lattice parameters (Å, degrees): 7.239 7.239 9.899 90.00 90.00 90.00
Space group I-4 (No. 82)
One atom of each set of equivalent atoms:
1 Li 0.000 0.000 0.000 [2 per cell]
2 Mn 0.000 0.500 0.750 [2 per cell]
3 Tl 0.000 0.000 0.500 [2 per cell]
4 Br 0.174 0.757 0.863 [8 per cell]